# BaFeN3 PBE optimized geometry
# Space-group type: Pm-3m, No. 221
# Crystal system: cubic
# Energy relative to the elements, uncorrected (eV per atom): 2.7478
data_BaFeN3
_chemical_formula_sum 'Ba1 Fe1 N3'
_symmetry_space_group_name_H-M 'P 1'
_symmetry_Int_Tables_number 1
_cell_length_a 4.475
_cell_length_b 4.475
_cell_length_c 4.475
_cell_angle_alpha 90.00
_cell_angle_beta 90.00
_cell_angle_gamma 90.00
loop_
_symmetry_equiv_pos_as_xyz
'x,y,z'
loop_
_atom_site_label
_atom_site_type_symbol
_atom_site_fract_x
_atom_site_fract_y
_atom_site_fract_z
_atom_site_occupancy
N1 N 0.000 0.500 0.000 1
N2 N 0.000 0.000 0.500 1
N3 N 0.500 0.000 0.000 1
Ba1 Ba 0.000 0.000 0.000 1
Fe1 Fe 0.500 0.500 0.500 1